# PBE-GGA Pa2BiOs, optimized geometry
data_Pa2BiOs
_chemical_formula_sum 'Pa2 Bi1 Os1'
_space_group_name_H-M_alt 'P 4/m m m'
_space_group_IT_number 123
_space_group_name_Hall '-P 4 2'
_cell_length_a 3.290
_cell_length_b 3.290
_cell_length_c 8.751
_cell_angle_alpha 90.00
_cell_angle_beta 90.00
_cell_angle_gamma 90.00
loop_
_atom_site_label
_atom_site_fract_x
_atom_site_fract_y
_atom_site_fract_z
_atom_site_occupancy
Pa1 0.000 0.000 0.211 1
Bi1 0.500 0.500 0.500 1
Os1 0.500 0.500 0.000 1
# - Formation enthalpy at 0 K: -230 meV per atom
# - E above lowest polymorph: 1 meV per atom
# - Mass density: 15.10 g/cm3
# - N(E_F): 6.5 states/eV/cell